1.
A plane-wave DFT calculation with PBE-GGA was carried out for an optimized crystal structure of MgTa2Pb.

The structure in POSCAR format:
```
MgTa2Pb
1.0
1.539 0.889 10.066
-1.539 0.889 10.066
0.000 -1.777 10.066
Mg Ta Pb
1 2 1
direct
0.000 0.000 0.000
0.250 0.250 0.250
0.750 0.750 0.750
0.500 0.500 0.500
```

Results
**Density**: 11.927 Mg/m³
**Total magnetization**: 0.000 μB/atom
**Calculated formation energy**: 2.24 eV per formula unit
**V**: 20.65 Å³ per atom

***

2.
A plane-wave DFT calculation with PBE-GGA was carried out for an optimized crystal structure of Mg2TaPb.

The structure in POSCAR format:
```
Mg2TaPb
1.0
5.599 -1.554 0.000
5.599 1.554 0.000
-2.539 0.000 4.940
Mg Ta Pb
2 1 1
direct
0.000 0.000 0.000
0.244 0.244 0.916
0.502 0.502 0.483
0.756 0.756 0.435
```

Results
**Density**: 8.436 Mg/m³
**Total magnetization**: 0.000 μB/atom
**Calculated formation energy**: 1.09 eV per formula unit
**V**: 21.49 Å³ per atom

***

3.
A plane-wave DFT calculation with PBE-GGA was carried out for an optimized crystal structure of Mg2TaPb.

The structure in POSCAR format:
```
Mg2TaPb
1.0
1.940 -2.369 0.000
1.940 2.369 0.000
0.000 0.000 9.828
Mg Ta Pb
2 1 1
direct
0.000 0.000 0.000
0.500 0.500 0.246
0.500 0.500 0.777
0.000 0.000 0.534
```

Results
**Density**: 8.029 Mg/m³
**Total magnetization**: 0.000 μB/atom
**Calculated formation energy**: 1.17 eV per formula unit
**V**: 22.58 Å³ per atom

***

4.
A plane-wave DFT calculation with PBE-GGA was carried out for an optimized crystal structure of MgTaPb2.

The structure in POSCAR format:
```
MgTaPb2
1.0
-2.283 2.283 4.434
2.283 -2.283 4.434
2.283 2.283 -4.434
Mg Ta Pb
1 1 2
direct
0.000 0.000 0.000
0.500 0.500 0.000
0.250 0.750 0.500
0.750 0.250 0.500
```

Results
**Density**: 11.130 Mg/m³
**Total magnetization**: 0.000 μB/atom
**Calculated formation energy**: 2.06 eV per formula unit
**V**: 23.11 Å³ per atom

***

5.
A plane-wave DFT calculation with PBE-GGA was carried out for an optimized crystal structure of MgTaPb.

The structure in POSCAR format:
```
MgTaPb
1.0
-1.519 1.519 7.476
1.519 -1.519 7.476
1.519 1.519 -7.476
Mg Ta Pb
1 1 1
direct
0.000 0.000 0.000
0.360 0.360 0.000
0.700 0.700 0.000
```

Results
**Density**: 9.923 Mg/m³
**Total magnetization**: 0.000 μB/atom
**Calculated formation energy**: 1.09 eV per formula unit
**V**: 23.01 Å³ per atom

***

6.
A plane-wave DFT calculation with PBE-GGA was carried out for an optimized crystal structure of Mg2TaPb.

The structure in POSCAR format:
```
Mg2TaPb
1.0
2.144 -2.171 0.000
2.144 2.171 0.000
0.000 0.000 9.676
Mg Ta Pb
2 1 1
direct
0.000 0.000 0.219
0.000 0.000 0.781
0.500 0.500 0.000
0.500 0.500 0.500
```

Results
**Density**: 8.051 Mg/m³
**Total magnetization**: 0.000 μB/atom
**Calculated formation energy**: 0.80 eV per formula unit
**V**: 22.52 Å³ per atom

***

7.
A plane-wave DFT calculation with PBE-GGA was carried out for an optimized crystal structure of Mg2Ta2Pb.

The structure in POSCAR format:
```
Mg2Ta2Pb
1.0
-1.970 1.970 7.101
1.970 -1.970 7.101
1.970 1.970 -7.101
Mg Ta Pb
2 2 1
direct
0.250 0.750 0.500
0.750 0.250 0.500
0.088 0.088 0.000
0.912 0.912 0.000
0.500 0.500 0.000
```

Results
**Density**: 9.300 Mg/m³
**Total magnetization**: 0.000 μB/atom
**Calculated formation energy**: 3.79 eV per formula unit
**V**: 22.06 Å³ per atom

***

8.
A plane-wave DFT calculation with PBE-GGA was carried out for an optimized crystal structure of MgTaPb2.

The structure in POSCAR format:
```
MgTaPb2
1.0
1.591 0.918 11.742
-1.591 0.918 11.742
0.000 -1.837 11.742
Mg Ta Pb
1 1 2
direct
0.000 0.000 0.000
0.500 0.500 0.500
0.241 0.241 0.241
0.759 0.759 0.759
```

Results
**Density**: 9.997 Mg/m³
**Total magnetization**: 0.000 μB/atom
**Calculated formation energy**: 1.48 eV per formula unit
**V**: 25.73 Å³ per atom

***

9.
A plane-wave DFT calculation with PBE-GGA was carried out for an optimized crystal structure of MgTa2Pb.

The structure in POSCAR format:
```
MgTa2Pb
1.0
3.018 0.000 0.000
0.000 4.727 0.000
-0.956 0.000 5.677
Mg Ta Pb
1 2 1
direct
0.000 0.000 0.000
0.342 0.500 0.786
0.518 0.000 0.539
0.902 0.500 0.288
```

Results
**Density**: 12.169 Mg/m³
**Total magnetization**: 0.000 μB/atom
**Calculated formation energy**: 1.56 eV per formula unit
**V**: 20.24 Å³ per atom

***

10.
A plane-wave DFT calculation with PBE-GGA was carried out for an optimized crystal structure of Mg2TaPb.

The structure in POSCAR format:
```
Mg2TaPb
1.0
5.387 0.000 0.000
0.000 5.387 0.000
0.000 0.000 3.046
Mg Ta Pb
2 1 1
direct
0.000 0.500 0.000
0.500 0.000 0.000
0.000 0.000 0.500
0.500 0.500 0.500
```

Results
**Density**: 8.206 Mg/m³
**Total magnetization**: 0.001 μB/atom
**Calculated formation energy**: 1.87 eV per formula unit
**V**: 22.10 Å³ per atom

***

11.
A plane-wave DFT calculation with PBE-GGA was carried out for an optimized crystal structure of Mg3TaPb.

The structure in POSCAR format:
```
Mg3TaPb
1.0
5.401 0.000 0.000
0.000 5.401 0.000
0.000 0.000 5.401
Mg Ta Pb
3 1 1
direct
0.000 0.000 0.500
0.000 0.500 0.000
0.500 0.000 0.000
0.000 0.000 0.000
0.500 0.500 0.500
```

Results
**Density**: 4.860 Mg/m³
**Total magnetization**: 0.521 μB/atom
**Calculated formation energy**: 5.66 eV per formula unit
**V**: 31.51 Å³ per atom

***

12.
A plane-wave DFT calculation with PBE-GGA was carried out for an optimized crystal structure of Mg2TaPb.

The structure in POSCAR format:
```
Mg2TaPb
1.0
2.957 -4.842 0.000
2.957 4.842 0.000
-0.515 0.000 3.010
Mg Ta Pb
2 1 1
direct
0.000 0.500 0.000
0.500 0.000 0.000
0.000 0.000 0.500
0.500 0.500 0.500
```

Results
**Density**: 8.413 Mg/m³
**Total magnetization**: 0.000 μB/atom
**Calculated formation energy**: 1.20 eV per formula unit
**V**: 21.55 Å³ per atom

***

density of number 1 (MgTa2Pb)? 11.927 Mg/m³

***

Which value of density does entry 12 give? 8.413 Mg/m³